Computed, not measured: a geometry-optimized BaZn3Rh structure at the PBE level of DFT.

abc: 6.2073 6.2073 9.4208
angles: 110.29 110.29 41.92
Positions (direct):
Ba: 0.1536 0.1536 0.2792
Ba: 0.8464 0.8464 0.7208
Zn: 0.0933 0.0933 0.6391
Zn: 0.2009 0.2009 0.9343
Zn: 0.5000 0.5000 0.0000
Zn: 0.5000 0.5000 0.5000
Zn: 0.7991 0.7991 0.0657
Zn: 0.9067 0.9067 0.3609
Rh: 0.4012 0.4012 0.1952
Rh: 0.5988 0.5988 0.8048

The calculation puts the excess energy over the best structure of this formula in the dataset at 51 meV per atom. Its magnetic moment is 0.00 Bohr magnetons per cell. As for the crystal system: monoclinic. The formation energy comes out at -7.0 kcal/mol of atoms. Its space-group type is C2/m (12).